## Ac4U3N10 (PBE-GGA)

Data for a relaxed structure of Ac4U3N10.

Space group   I4/mmm, No. 139
Total DFT energy (no corrections)   -9.21 eV/atom
E_form (uncorrected)   -2229 kJ/mol of formula units

```
17
Lattice="-2.1606 2.1606 15.3021 2.1606 -2.1606 15.3021 2.1606 2.1606 -15.3021" Properties=species:S:1:pos:R:3 pbc="T T T"
Ac 0.0000 0.0000 2.1406
Ac 0.0000 0.0000 6.2594
Ac 0.0000 0.0000 24.3448
Ac 0.0000 0.0000 28.4636
U 0.0000 0.0000 10.9681
U 0.0000 0.0000 15.3021
U 0.0000 0.0000 19.6362
N 2.1606 0.0000 0.0000
N 2.1606 0.0000 4.2984
N 0.0000 0.0000 8.7706
N 2.1606 0.0000 11.0038
N 0.0000 0.0000 13.1395
N 0.0000 2.1606 0.0000
N 0.0000 0.0000 17.4647
N 0.0000 2.1606 4.2984
N 0.0000 0.0000 21.8337
N 0.0000 2.1606 11.0038
```

## Ba2AuCl (PBE-GGA)

Data for a relaxed structure of Ba2AuCl.

DOS at the Fermi energy   1.328 states/eV per atom
Space group   F-43m, No. 216
Total DFT energy (no corrections)   -2.78 eV/atom
Distance to the lowest polymorph of the same formula   756 meV per atom
E_form (uncorrected)   -206 kJ/mol of formula units

```
4
Lattice="0.0000 3.9833 3.9833 3.9833 0.0000 3.9833 3.9833 3.9833 0.0000" Properties=species:S:1:pos:R:3 pbc="T T T"
Ba 0.0000 0.0000 0.0000
Ba 1.9917 1.9917 1.9917
Au 3.9833 3.9833 3.9833
Cl 5.9750 5.9750 5.9750
```

## Ni2Ru2W (PBE-GGA)

Data for a relaxed structure of Ni2Ru2W.

DOS at the Fermi energy   1.216 states/eV per atom
Space group   P4/mbm, No. 127
Total DFT energy (no corrections)   -8.41 eV/atom
Formation energy from the elements   0.208 eV per atom

```
10
Lattice="6.8635 0.0000 0.0000 0.0000 6.8635 0.0000 0.0000 0.0000 2.8100" Properties=species:S:1:pos:R:3 pbc="T T T"
Ni 0.8378 2.5940 0.0000
Ni 2.5940 6.0257 0.0000
Ni 4.2695 0.8378 0.0000
Ni 6.0257 4.2695 0.0000
Ru 1.1978 4.6296 1.4050
Ru 2.2339 1.1978 1.4050
Ru 4.6296 5.6657 1.4050
Ru 5.6657 2.2339 1.4050
W 0.0000 0.0000 0.0000
W 3.4318 3.4318 0.0000
```

## ZnSbMo2 (PBE-GGA)

Data for a relaxed structure of ZnSbMo2.

DOS at the Fermi energy   0.800 states/eV per atom
Space group   Cmm2, No. 35
Total DFT energy (no corrections)   -6.42 eV/atom
Distance to the lowest polymorph of the same formula   227 meV per atom
E_form (uncorrected)   133 kJ/mol of formula units

```
4
Lattice="1.6881 -2.3631 0.0000 1.6881 2.3631 0.0000 0.0000 0.0000 9.3566" Properties=species:S:1:pos:R:3 pbc="T T T"
Zn 0.0000 0.0000 0.0000
Sb 1.6881 0.0000 6.4350
Mo 0.0000 0.0000 4.0899
Mo 1.6881 0.0000 2.0659
```